# 1
VASP calculation (PBE-GGA) on an optimized crystal structure of Hf2TaTiH.

The density of states at the Fermi level comes out at 7.1 states/eV/cell. The distance to the lowest polymorph of the same formula comes out at 0 meV/atom. The value obtained for the total magnetization is 0.00 μB per cell. The value obtained for the total energy is -43.1 eV per cell.

Unit cell a=4.574 b=4.574 c=3.880 alpha=90.00 beta=90.00 gamma=90.00
Positions (direct):
Ti 0.000 0.000 0.500
H 0.000 0.000 0.000
Ta 0.500 0.500 0.500
Hf 0.000 0.500 0.000
Hf 0.500 0.000 0.000

***

# 2
VASP calculation (PBE-GGA) on an optimized crystal structure of HfTaTi2H.

The density of states at the Fermi level comes out at 6.1 states/eV/cell. The distance to the lowest polymorph of the same formula comes out at 12 meV/atom. The value obtained for the total magnetization is 0.00 μB per cell. The value obtained for the total energy is -41.0 eV per cell.

Unit cell a=4.139 b=4.139 c=4.455 alpha=90.00 beta=90.00 gamma=90.00
Positions (direct):
Ta 0.000 0.000 0.500
Ti 0.500 0.000 0.000
Ti 0.000 0.500 0.000
H 0.000 0.000 0.000
Hf 0.500 0.500 0.500